*1*
VASP calculation (PBE) on a relaxed structure of AcLaNi2.

Values from the calculation:
Space-group type   Fm-3m, No. 225
Calculated density   8.522 g/cm3

Cell: 5.107 5.107 5.107 Å, 60.00 60.00 60.00°
Positions (direct):
1 Ac 0.000 0.000 0.000
2 La 0.500 0.500 0.500
3 Ni 0.250 0.250 0.250
4 Ni 0.750 0.750 0.750

---

*2*
VASP calculation (PBE) on a relaxed structure of AcLaNi2.

Values from the calculation:
Space-group type   Pm, No. 6
Calculated density   8.246 g/cm3

Cell: 3.955 4.380 5.953 Å, 90.00 109.28 90.00°
Positions (direct):
1 Ac 0.000 0.000 0.000
2 La 0.268 0.500 0.537
3 Ni 0.572 0.500 0.145
4 Ni 0.712 0.000 0.424

---

Of them, the most stable is *2* and the least stable is *1*.